# HfTcB4 GGA-PBE optimized geometry
# Polymorph energy (0 for the lowest one) ... 0.033 eV/atom
# E_tot ... -8.35 eV/atom
data_HfTcB4
_symmetry_space_group_name_H-M 'P 6/m m m'
_symmetry_Int_Tables_number 191
_symmetry_space_group_name_Hall '-P 6 2'
_cell_length_a 3.1221
_cell_length_b 3.1221
_cell_length_c 6.5821
_cell_angle_alpha 90.00
_cell_angle_beta 90.00
_cell_angle_gamma 120.00
loop_
_atom_site_label
_atom_site_fract_x
_atom_site_fract_y
_atom_site_fract_z
Hf1 0.0000 0.0000 0.0000
Tc1 0.0000 0.0000 0.5000
B1 0.3333 0.6667 0.2569